# 1
## La6Pm2TmTh (PBE)

Data for a relaxed La6Pm2TmTh crystal.

Summary:
Magnetic moment = 0.00 μB/cell
Calculated density = 7.146 g cm⁻³
DFT formation energy = 0.19 eV per atom

Cell: 9.225 6.991 6.770 Å, 121.08 105.92 90.00°
Positions (direct):
Th 0.000 0.500 0.000
Tm 0.500 0.000 0.000
La 0.803 0.959 0.390
La 0.803 0.431 0.390
La 0.197 0.041 0.610
La 0.197 0.569 0.610
La 0.586 0.375 0.749
La 0.414 0.625 0.251
Pm 0.825 0.927 0.854
Pm 0.175 0.073 0.146

***

# 2
## TbCdAu2 (PBE)

Data for a relaxed TbCdAu2 crystal.

Summary:
Magnetic moment = 0.00 μB/cell
Calculated density = 11.010 g cm⁻³
DFT formation energy = -0.47 eV per atom

Cell: 4.129 4.129 7.200 Å, 73.34 73.34 60.00°
Positions (direct):
Au 0.247 0.247 0.258
Au 0.086 0.086 0.741
Tb 0.668 0.668 0.995
Cd 0.498 0.498 0.506

***

# 3
## Nb2FeIr (PBE)

Data for a relaxed Nb2FeIr crystal.

Summary:
Magnetic moment = 0.00 μB/cell
Calculated density = 8.151 g cm⁻³
DFT formation energy = 1.01 eV per atom

Cell: 5.633 5.633 6.849 Å, 65.72 65.72 90.00°
Positions (direct):
Nb 0.152 0.625 0.250
Nb 0.875 0.848 0.750
Nb 0.598 0.125 0.250
Nb 0.375 0.402 0.750
Ir 0.750 0.250 0.500
Ir 0.000 0.000 0.000
Fe 0.500 0.500 0.000
Fe 0.250 0.750 0.500

***

# 4
## Li3CdTc (PBE)

Data for a relaxed Li3CdTc crystal.

Summary:
Magnetic moment = 3.01 μB/cell
Calculated density = 3.520 g cm⁻³
E above lowest polymorph = 0 meV/atom
DFT formation energy = 0.96 eV per atom

Cell: 4.778 4.778 4.778 Å, 90.00 90.00 90.00°
Site moments in Bohr magnetons follow the coordinates.
Positions (direct):
Li 0.000 0.500 0.000  -0.02
Li 0.500 0.000 0.000  -0.01
Li 0.000 0.000 0.500  -0.03
Cd 0.000 0.000 0.000  -0.07
Tc 0.500 0.500 0.500  3.18

***

# 5
## Rb2YCoAu (PBE)

Data for a relaxed Rb2YCoAu crystal.

Summary:
Magnetic moment = 1.84 μB/cell
Calculated density = 3.769 g cm⁻³
DFT formation energy = 0.85 eV per atom

Cell: 6.319 5.692 6.319 Å, 90.00 90.00 90.00°
Site moments in Bohr magnetons follow the coordinates.
Positions (direct):
Co 0.500 0.500 0.500  2.13
Y 0.000 0.500 0.000  -0.11
Rb 0.500 0.000 0.000  -0.01
Rb 0.000 0.000 0.500  -0.01
Au 0.000 0.000 0.000  0.00

***

# 6
## BaTc2RhO (PBE)

Data for a relaxed BaTc2RhO crystal.

Summary:
Magnetic moment = 8.49 μB/cell
Formation energy (no corrections) = 2986 meV per atom
Calculated density = 5.165 g cm⁻³

Cell: 5.366 5.049 5.366 Å, 90.00 90.00 90.00°
Site moments in Bohr magnetons follow the coordinates.
Positions (direct):
Ba 0.000 0.000 0.000  -0.07
Tc 0.500 0.000 0.000  3.20
Tc 0.000 0.000 0.500  2.69
O 0.500 0.500 0.500  1.07
Rh 0.000 0.500 0.000  0.65

***

# 7
## YAl2SiPt (PBE)

Data for a relaxed YAl2SiPt crystal.

Summary:
Magnetic moment = 0.00 μB/cell
Formation energy (no corrections) = 1268 meV per atom
Calculated density = 3.979 g cm⁻³

Cell: 5.513 5.026 5.513 Å, 90.00 90.00 90.00°
Positions (direct):
Pt 0.000 0.500 0.000
Al 0.500 0.000 0.000
Al 0.000 0.000 0.500
Y 0.000 0.000 0.000
Si 0.500 0.500 0.500

***

# 8
## Pr2InIr2Rh5 (PBE)

Data for a relaxed Pr2InIr2Rh5 crystal.

Summary:
Magnetic moment = 0.00 μB/cell
Calculated density = 11.487 g cm⁻³
DFT formation energy = -0.31 eV per atom

Cell: 4.069 9.594 9.594 Å, 90.00 90.00 90.00°
Positions (direct):
In 0.000 0.500 0.500
In 0.000 0.000 0.000
Rh 0.500 0.500 0.000
Rh 0.500 0.794 0.932
Rh 0.500 0.568 0.706
Rh 0.500 0.294 0.568
Rh 0.500 0.932 0.206
Rh 0.500 0.068 0.794
Rh 0.500 0.206 0.068
Rh 0.500 0.706 0.432
Rh 0.500 0.000 0.500
Rh 0.500 0.432 0.294
Pr 0.000 0.669 0.169
Pr 0.000 0.169 0.331
Pr 0.000 0.831 0.669
Pr 0.000 0.331 0.831
Ir 0.000 0.629 0.871
Ir 0.000 0.371 0.129
Ir 0.000 0.129 0.629
Ir 0.000 0.871 0.371

***

# 9
## AcTb6PmY2 (PBE)

Data for a relaxed AcTb6PmY2 crystal.

Summary:
Magnetic moment = 0.00 μB/cell
Calculated density = 7.325 g cm⁻³
DFT formation energy = 0.13 eV per atom

Cell: 9.556 8.944 8.944 Å, 116.58 92.33 92.33°
Positions (direct):
Tb 0.822 0.450 0.989
Tb 0.885 0.290 0.521
Tb 0.441 0.246 0.882
Tb 0.385 0.521 0.290
Tb 0.615 0.479 0.710
Tb 0.115 0.710 0.479
Tb 0.059 0.118 0.754
Tb 0.322 0.989 0.450
Tb 0.941 0.882 0.246
Tb 0.559 0.754 0.118
Tb 0.678 0.011 0.550
Tb 0.178 0.550 0.011
Y 0.448 0.797 0.691
Y 0.052 0.309 0.203
Y 0.948 0.691 0.797
Y 0.552 0.203 0.309
Ac 0.250 0.962 0.038
Ac 0.750 0.038 0.962
Pm 0.750 0.589 0.411
Pm 0.250 0.411 0.589

***

# 10
## TlTe2Cl (PBE)

Data for a relaxed TlTe2Cl crystal.

Summary:
Magnetic moment = 0.00 μB/cell
Formation energy (no corrections) = -401 meV per atom
Calculated density = 5.665 g cm⁻³
E above lowest polymorph = 0 meV/atom

Cell: 4.108 4.107 8.601 Å, 90.00 90.00 90.00°
Positions (direct):
Cl 0.500 0.500 0.693
Te 0.500 0.500 0.169
Te 0.000 0.000 0.068
Tl 0.000 0.000 0.570

***

# 11
## SnP4 (PBE)

Data for a relaxed SnP4 crystal.

Summary:
Magnetic moment = 0.00 μB/cell
Calculated density = 3.284 g cm⁻³
E above lowest polymorph = 1491 meV/atom
DFT formation energy = 1.58 eV per atom

Cell: 4.969 4.969 4.969 Å, 90.00 90.00 90.00°
Positions (direct):
Sn 0.500 0.500 0.500
P 0.500 0.000 0.500
P 0.000 0.000 0.000
P 0.000 0.500 0.500
P 0.500 0.500 0.000

***

# 12
## InSnS3 (PBE)

Data for a relaxed InSnS3 crystal.

Summary:
Magnetic moment = 0.00 μB/cell
Formation energy (no corrections) = 80 meV per atom
Calculated density = 4.273 g cm⁻³

Cell: 5.041 5.041 5.041 Å, 90.00 90.00 90.00°
Positions (direct):
S 0.000 0.500 0.000
S 0.000 0.000 0.500
S 0.500 0.000 0.000
In 0.500 0.500 0.500
Sn 0.000 0.000 0.000

***

# 13
## Nd8Te4As3Au (PBE)

Data for a relaxed Nd8Te4As3Au crystal.

Summary:
Magnetic moment = 0.00 μB/cell
Formation energy (no corrections) = -1414 meV per atom
Calculated density = 7.194 g cm⁻³

Cell: 8.748 8.849 8.748 Å, 119.63 120.00 90.00°
Positions (direct):
Te 0.500 0.000 0.000
Te 0.000 0.000 0.000
Te 0.000 0.000 0.500
Te 0.500 0.000 0.500
Nd 0.755 0.273 0.511
Nd 0.755 0.273 0.017
Nd 0.740 0.720 0.480
Nd 0.260 0.280 0.520
Nd 0.262 0.273 0.017
Nd 0.245 0.727 0.983
Nd 0.738 0.727 0.983
Nd 0.245 0.727 0.489
As 0.500 0.500 0.000
As 0.500 0.500 0.500
As 0.000 0.500 0.500
Au 0.000 0.500 0.000

***

# 14
## HgAs2RhO8 (PBE)

Data for a relaxed HgAs2RhO8 crystal.

Summary:
Magnetic moment = 1.01 μB/cell
Formation energy (no corrections) = -591 meV per atom
Calculated density = 5.837 g cm⁻³

Cell: 4.845 4.845 8.604 Å, 73.65 73.65 60.00°
Site moments in Bohr magnetons follow the coordinates.
Positions (direct):
Hg 0.000 0.000 0.000  -0.02
O 0.245 0.871 0.335  0.04
O 0.871 0.550 0.335  0.04
O 0.686 0.686 0.942  0.02
O 0.450 0.129 0.665  0.04
O 0.314 0.314 0.058  0.02
O 0.755 0.450 0.665  0.04
O 0.129 0.755 0.665  0.04
O 0.550 0.245 0.335  0.04
As 0.243 0.243 0.270  0.01
As 0.757 0.757 0.730  0.01
Rh 0.500 0.500 0.500  0.65

***

# 15
## TbPm2I2N2 (PBE)

Data for a relaxed TbPm2I2N2 crystal.

Summary:
Magnetic moment = 0.99 μB/cell
Formation energy (no corrections) = -1194 meV per atom
Calculated density = 6.118 g cm⁻³

Cell: 4.506 4.506 10.274 Å, 102.67 102.67 90.00°
Site moments in Bohr magnetons follow the coordinates.
Positions (direct):
N 0.000 0.500 0.000  -0.02
N 0.500 0.000 0.000  -0.02
I 0.163 0.163 0.325  0.00
I 0.837 0.837 0.675  0.00
Pm 0.575 0.575 0.150  0.35
Pm 0.425 0.425 0.850  0.35
Tb 0.000 0.000 0.000  0.01

***

# 16
## Er14In3Pd3 (PBE)

Data for a relaxed Er14In3Pd3 crystal.

Summary:
Magnetic moment = 0.00 μB/cell
Calculated density = 9.218 g cm⁻³
DFT formation energy = -0.48 eV per atom

Cell: 9.629 9.629 23.357 Å, 90.00 90.00 90.00°
Positions (direct):
Pd 0.000 0.500 0.696
Pd 0.788 0.000 0.439
Pd 0.500 0.288 0.939
Pd 0.000 0.788 0.561
Pd 0.000 0.500 0.196
Pd 0.288 0.500 0.061
Pd 0.500 0.000 0.804
Pd 0.000 0.212 0.561
Pd 0.500 0.712 0.939
Pd 0.712 0.500 0.061
Pd 0.212 0.000 0.439
Pd 0.500 0.000 0.304
Er 0.000 0.500 0.038
Er 0.000 0.693 0.284
Er 0.692 0.187 0.854
Er 0.500 0.193 0.216
Er 0.807 0.500 0.784
Er 0.692 0.813 0.854
Er 0.687 0.192 0.354
Er 0.813 0.692 0.146
Er 0.308 0.813 0.854
Er 0.313 0.192 0.354
Er 0.500 0.000 0.962
Er 0.316 0.316 0.500
Er 0.308 0.187 0.854
Er 0.816 0.184 0.000
Er 0.693 0.000 0.716
Er 0.000 0.214 0.443
Er 0.813 0.308 0.146
Er 0.808 0.687 0.646
Er 0.312 0.500 0.267
Er 0.500 0.807 0.216
Er 0.000 0.188 0.767
Er 0.187 0.692 0.146
Er 0.286 0.500 0.943
Er 0.500 0.312 0.733
Er 0.684 0.316 0.500
Er 0.193 0.500 0.784
Er 0.786 0.000 0.557
Er 0.000 0.500 0.538
Er 0.313 0.808 0.354
Er 0.000 0.307 0.284
Er 0.307 0.000 0.716
Er 0.500 0.500 0.396
Er 0.688 0.500 0.267
Er 0.000 0.812 0.767
Er 0.500 0.286 0.057
Er 0.192 0.313 0.646
Er 0.214 0.000 0.557
Er 0.500 0.500 0.604
Er 0.684 0.684 0.500
Er 0.192 0.687 0.646
Er 0.000 0.786 0.443
Er 0.316 0.684 0.500
Er 0.714 0.500 0.943
Er 0.500 0.714 0.057
Er 0.500 0.688 0.733
Er 0.816 0.816 0.000
Er 0.187 0.308 0.146
Er 0.000 0.000 0.104
Er 0.500 0.000 0.462
Er 0.188 0.000 0.233
Er 0.687 0.808 0.354
Er 0.184 0.184 0.000
Er 0.000 0.000 0.896
Er 0.808 0.313 0.646
Er 0.812 0.000 0.233
Er 0.184 0.816 0.000
In 0.839 0.500 0.395
In 0.500 0.839 0.605
In 0.500 0.161 0.605
In 0.339 0.000 0.105
In 0.661 0.000 0.105
In 0.000 0.000 0.342
In 0.000 0.339 0.895
In 0.500 0.500 0.842
In 0.000 0.000 0.658
In 0.161 0.500 0.395
In 0.000 0.661 0.895
In 0.500 0.500 0.158

***

# 17
## Cu8Pt2Au (PBE)

Data for a relaxed Cu8Pt2Au crystal.

Summary:
Magnetic moment = 0.00 μB/cell
Calculated density = 12.029 g cm⁻³
E above lowest polymorph = 104 meV/atom
DFT formation energy = 0.02 eV per atom

Cell: 4.494 6.782 7.348 Å, 62.52 72.59 49.57°
Positions (direct):
Cu 0.500 0.199 0.602
Cu 0.245 0.503 0.000
Cu 0.243 0.625 0.273
Cu 0.500 0.801 0.398
Cu 0.243 0.898 0.727
Cu 0.757 0.102 0.273
Cu 0.757 0.375 0.727
Cu 0.755 0.497 0.000
Au 0.500 0.000 0.000
Pt 0.000 0.682 0.637
Pt 0.000 0.318 0.363

***

# 18
## Fe2Ni2Pt (PBE)

Data for a relaxed Fe2Ni2Pt crystal.

Summary:
Magnetic moment = 0.00 μB/cell
Calculated density = 11.357 g cm⁻³
E above lowest polymorph = 472 meV/atom
DFT formation energy = 0.42 eV per atom

Cell: 3.391 3.391 5.904 Å, 73.31 73.31 90.00°
Positions (direct):
Pt 0.000 0.000 0.000
Ni 0.250 0.750 0.500
Ni 0.750 0.250 0.500
Fe 0.598 0.598 0.804
Fe 0.402 0.402 0.196

***

# 19
## Ag3HRh (PBE)

Data for a relaxed Ag3HRh crystal.

Summary:
Magnetic moment = 0.41 μB/cell
Calculated density = 10.078 g cm⁻³
E above lowest polymorph = 0 meV/atom

Cell: 4.130 4.130 4.130 Å, 90.00 90.00 90.00°
Site moments in Bohr magnetons follow the coordinates.
Positions (direct):
H 0.000 0.000 0.000  0.01
Ag 0.000 0.000 0.500  0.01
Ag 0.000 0.500 0.000  0.00
Ag 0.500 0.000 0.000  0.01
Rh 0.500 0.500 0.500  0.37

***

# 20
## Sm2YEr (PBE)

Data for a relaxed Sm2YEr crystal.

Summary:
Magnetic moment = 0.00 μB/cell
Calculated density = 7.088 g cm⁻³
E above lowest polymorph = 0 meV/atom
DFT formation energy = 0.01 eV per atom

Cell: 3.605 3.605 11.774 Å, 81.19 81.19 60.00°
Positions (direct):
Sm 0.083 0.083 0.751
Sm 0.250 0.250 0.249
Y 0.500 0.500 0.500
Er 0.667 0.667 0.999

***

# 21
## ZrScHg2 (PBE)

Data for a relaxed ZrScHg2 crystal.

Summary:
Magnetic moment = 0.00 μB/cell
Calculated density = 9.805 g cm⁻³
E above lowest polymorph = 148 meV/atom
DFT formation energy = -0.13 eV per atom

Cell: 3.302 3.302 9.823 Å, 80.32 80.32 60.00°
Positions (direct):
Hg 0.081 0.081 0.756
Hg 0.252 0.252 0.243
Sc 0.667 0.667 0.999
Zr 0.500 0.500 0.501